DFT (PBE with a Hubbard U) results for a relaxed structure of CaCoO2.

For the calculated total energy, the calculation gives -62.0 eV per cell. The value obtained for the energy above the lowest structure with this stoichiometry is 1.0416 eV/atom.

It has space group R-3m (No. 166, hexagonal axes), with a = 3.0498 Å, b = 3.0498 Å, c = 18.6102 Å, α = 90.00°, β = 90.00° and γ = 120.00°. The asymmetric unit holds Ca at (0.0000, 0.0000, 0.0000), Co at (0.0000, 0.0000, 0.5000) and O at (0.0000, 0.0000, 0.1173).